Arrangement P

SeIBr: optimized geometry, PBE.

The structure belongs to space group P1 (No. 1); the cell edges are 5.045, 6.560 and 9.655 Å and the angles 94.77°, 102.00° and 112.12°. Symmetry generates all atoms from Se at (0.000, 0.000, 0.000), Se at (0.021, 0.299, 0.144), I at (0.596, 0.895, 0.748), I at (0.840, 0.276, 0.594), Br at (0.038, 0.615, 0.456) and Br at (0.399, 0.619, 0.098).

The calculation puts the density of states at the Fermi level at 0.0 states/eV/f.u.

---

Arrangement Q

SeIBr: optimized geometry, PBE.

The structure belongs to space group P1 (No. 1); the cell edges are 5.433, 6.502 and 8.473 Å and the angles 77.74°, 84.67° and 72.52°. Symmetry generates all atoms from Se at (0.000, 0.000, 0.000), Se at (0.020, 0.305, 0.821), I at (0.231, 0.008, 0.265), I at (0.368, 0.532, 0.425), Br at (0.492, 0.114, 0.580) and Br at (0.658, 0.600, 0.891).

The calculation puts the density of states at the Fermi level at 0.0 states/eV/f.u.

---

Stability verdict: arrangement Q, ahead by 0.005 eV/atom